## V2AsRu2 (PBE)

Data for an optimized crystal structure of V2AsRu2.

Calculated values
Crystal system ... tetragonal
Energy of formation ... 0.0376 eV per atom
Space-group type ... P4/mbm (127)
DOS(E_F) ... 0.6893 states/eV per atom
Calculated volume ... 14.9 A^3/atom
Raw total energy ... -8.250 eV per atom

abc: 7.224 7.224 2.865
angles: 90.00 90.00 90.00
Fractional positions:
Ru1 0.139 0.639 0.500
Ru2 0.639 0.861 0.500
Ru3 0.861 0.361 0.500
Ru4 0.361 0.139 0.500
As1 0.000 0.000 0.000
As2 0.500 0.500 0.000
V1 0.348 0.848 0.000
V2 0.848 0.652 0.000
V3 0.652 0.152 0.000
V4 0.152 0.348 0.000